DFT (SCAN) results for a PBEsol-optimized structure of Li2MgHg.

a b c (Å): 2.9671 4.5473 5.6280
angles (deg): 90.00 102.16 90.00
Fractional positions:
Li1 0.8230 0.5000 0.2369
Li2 0.9553 0.0000 0.9936
Hg1 0.2136 0.5000 0.7678
Mg1 0.5081 0.0000 0.5018

## Properties
energy relative to the elements: -1.072 eV/f.u.
N(E_F): 1.430 states/eV per cell



DFT (SCAN) results for a PBEsol-optimized structure of FeSiOs3.

a b c (Å): 4.3433 4.3433 4.3433
angles (deg): 90.00 90.00 90.00
Fractional positions:
Si1 0.5000 0.5000 0.5000
Os1 0.0000 0.5000 0.0000
Os2 0.0000 0.0000 0.5000
Fe1 0.0000 0.0000 0.0000
Os3 0.5000 0.0000 0.0000

## Properties
N(E_F): 4.659 states/eV per cell
E_form (uncorrected): 2.01 eV per atom



DFT (SCAN) results for a PBEsol-optimized structure of CaScZn2.

a b c (Å): 4.2331 4.2331 5.4373
angles (deg): 112.91 112.91 90.00
Fractional positions:
Sc1 0.2500 0.7500 0.5000
Zn1 0.7500 0.2500 0.5000
Zn2 0.0000 0.0000 0.0000
Ca1 0.5000 0.5000 0.0000

## Properties
energy relative to the elements: -0.124 eV/f.u.
N(E_F): 3.451 states/eV per cell



DFT (SCAN) results for a PBEsol-optimized structure of CuAu.

a b c (Å): 2.8186 2.8186 4.5129
angles (deg): 71.80 71.80 60.00
Fractional positions:
Cu1 0.0000 0.0000 0.0000
Au1 0.5000 0.5000 0.5000

## Properties
energy relative to the elements: 0.001 eV/f.u.
N(E_F): 0.731 states/eV per cell



DFT (SCAN) results for a PBEsol-optimized structure of BaZn2Rh.

a b c (Å): 4.3487 4.3079 6.1984
angles (deg): 111.32 90.00 120.31
Fractional positions:
Rh1 0.5000 0.0000 0.0000
Zn1 0.1938 0.3876 0.0809
Zn2 0.8062 0.6124 0.9191
Ba1 0.0000 0.0000 0.5000

## Properties
energy relative to the elements: -1.494 eV/f.u.
N(E_F): 2.003 states/eV per cell



DFT (SCAN) results for a PBEsol-optimized structure of Ta4Cu2O11.

a b c (Å): 6.1935 6.1935 12.9929
angles (deg): 76.26 76.26 60.24
Fractional positions:
O1 0.7587 0.9254 0.0900
O2 0.4872 0.7648 0.7491
O3 0.1088 0.5790 0.2209
O4 0.0746 0.2413 0.4100
O5 0.4210 0.8912 0.2791
O6 0.2413 0.0746 0.9100
O7 0.0129 0.9871 0.2500
O8 0.7648 0.4872 0.2491
Ta1 0.8696 0.7642 0.7511
Ta2 0.5000 0.0000 0.0000
O9 0.9871 0.0129 0.7500
Cu1 0.0000 0.0000 0.5000
O10 0.7115 0.4507 0.5925
O11 0.2885 0.5493 0.4075
Ta3 0.4014 0.5986 0.2500
O12 0.2352 0.5128 0.7509
Ta4 0.5986 0.4014 0.7500
O13 0.2449 0.2243 0.0990
Ta5 0.1304 0.2358 0.2489
O14 0.9254 0.7587 0.5900
O15 0.5128 0.2352 0.2509
Cu2 0.5000 0.5000 0.0000
Cu3 0.5000 0.5000 0.5000
O16 0.5790 0.1088 0.7209
Ta6 0.2358 0.1304 0.7489
O17 0.2243 0.2449 0.5990
Cu4 0.0000 0.0000 0.0000
Ta7 0.7642 0.8696 0.2511
O18 0.7757 0.7551 0.4010
Ta8 0.0000 0.5000 0.5000
O19 0.5493 0.2885 0.9075
O20 0.8912 0.4210 0.7791
O21 0.4507 0.7115 0.0925
O22 0.7551 0.7757 0.9010

## Properties
N(E_F): 0.000 states/eV per cell
E_form (uncorrected): -2.56 eV per atom



DFT (SCAN) results for a PBEsol-optimized structure of In2OsPb.

a b c (Å): 3.1310 5.1209 6.8432
angles (deg): 111.92 90.00 107.80
Fractional positions:
In1 0.9870 0.9739 0.0247
In2 0.8130 0.6261 0.3671
Pb1 0.1578 0.3156 0.7368
Os1 0.5422 0.0843 0.3714

## Properties
energy relative to the elements: 1.386 eV/f.u.
N(E_F): 2.941 states/eV per cell



DFT (SCAN) results for a PBEsol-optimized structure of Li3AgF.

a b c (Å): 4.0358 4.0358 4.0358
angles (deg): 90.00 90.00 90.00
Fractional positions:
Li1 0.0000 0.0000 0.5000
Ag1 0.5000 0.5000 0.5000
Li2 0.0000 0.5000 0.0000
Li3 0.5000 0.0000 0.0000
F1 0.0000 0.0000 0.0000

## Properties
N(E_F): 2.197 states/eV per cell
E_form (uncorrected): -1.21 eV per atom